# Hg6PtI2, optimized geometry, DFT PBE
data_Hg6PtI2
_chemical_formula_sum 'Hg24 Pt4 I8'
_space_group_name_H-M_alt 'C 1 2/c 1'
_space_group_IT_number 15
_space_group_name_Hall '-C 2yc'
_cell_length_a 7.816
_cell_length_b 17.012
_cell_length_c 9.549
_cell_angle_alpha 90.00
_cell_angle_beta 101.42
_cell_angle_gamma 90.00
loop_
_atom_site_label
_atom_site_fract_x
_atom_site_fract_y
_atom_site_fract_z
_atom_site_occupancy
Hg1 0.064 0.090 0.483 1
Hg2 0.174 0.447 0.741 1
Hg3 0.240 0.122 0.850 1
Pt1 0.000 0.014 0.750 1
I1 0.024 0.289 0.481 1
# Crystal system ... monoclinic
# ΔE_f (raw) ... -64 meV/atom